First-principles (PBE-GGA) data for crystalline CdAsPd3 at its relaxed geometry, as listed in the Alexandria database.

Cell: 4.6545 4.6545 4.6545 Å, 90.00 90.00 90.00°
With the nearest neighbours (Å) after each atom.
Positions (direct):
Cd 0.5000 0.5000 0.5000  12 Pd 3.29
Pd 0.0000 0.0000 0.5000  2 As 2.33
Pd 0.0000 0.5000 0.0000  2 As 2.33
Pd 0.5000 0.0000 0.0000  2 As 2.33
As 0.0000 0.0000 0.0000  6 Pd 2.33

formation energy: -0.042 eV per atom
mass density: 8342 kg/m3
volume: 20.2 Å³/atom
calculated total energy: -0.3139 Ry per atom
energy above the most stable polymorph in this dataset: 281 meV per atom